Record 1
# Ho2Ti3Si4, relaxed, DFT GGA-PBEsol
data_Ho2Ti3Si4
_cell_length_a 6.958
_cell_length_b 6.958
_cell_length_c 12.797
_cell_angle_alpha 90.00
_cell_angle_beta 90.00
_cell_angle_gamma 90.00
_space_group_name_H-M_alt 'P 41 21 2'
_space_group_IT_number 92
loop_
_space_group_symop_operation_xyz
'x,y,z'
'-y+1/2,x+1/2,z+1/4'
'-x,-y,z+1/2'
'y+1/2,-x+1/2,z+3/4'
'x+1/2,-y+1/2,-z+3/4'
'-y,-x,-z+1/2'
'-x+1/2,y+1/2,-z+1/4'
'y,x,-z'
loop_
_atom_site_label
_atom_site_type_symbol
_atom_site_fract_x
_atom_site_fract_y
_atom_site_fract_z
_atom_site_occupancy
Ho1 Ho 0.003 0.340 0.033 1
Ti1 Ti 0.007 0.152 0.623 1
Ti2 Ti 0.172 0.828 0.750 1
Si1 Si 0.046 0.708 0.935 1
Si2 Si 0.131 0.203 0.816 1
# * formation energy from raw total energies: -0.88 eV/atom

***

Record 2
# HoZnSi, relaxed, DFT GGA-PBEsol
data_HoZnSi
_cell_length_a 4.0459
_cell_length_b 4.0459
_cell_length_c 3.9516
_cell_angle_alpha 90.00
_cell_angle_beta 90.00
_cell_angle_gamma 120.00
_space_group_name_H-M_alt 'P -6 m 2'
_space_group_IT_number 187
_space_group_name_Hall 'P -6 2'
loop_
_atom_site_label
_atom_site_type_symbol
_atom_site_fract_x
_atom_site_fract_y
_atom_site_fract_z
_atom_site_occupancy
Ho1 Ho 0.0000 0.0000 0.0000 1
Zn1 Zn 0.3333 0.6667 0.5000 1
Si1 Si 0.6667 0.3333 0.5000 1
# * formation energy from raw total energies: -0.67 eV/atom

***

Record 3
# SmHo3, relaxed, DFT GGA-PBEsol
data_SmHo3
_cell_length_a 7.0707
_cell_length_b 7.0707
_cell_length_c 5.5581
_cell_angle_alpha 90.00
_cell_angle_beta 90.00
_cell_angle_gamma 120.00
_space_group_name_H-M_alt 'P 63/m m c'
_space_group_IT_number 194
_space_group_name_Hall '-P 6c 2c'
loop_
_atom_site_label
_atom_site_type_symbol
_atom_site_fract_x
_atom_site_fract_y
_atom_site_fract_z
_atom_site_occupancy
Sm1 Sm 0.3333 0.6667 0.2500 1
Ho1 Ho 0.1662 0.3324 0.7500 1
# * DFT formation energy: 0.0150 eV/atom